No. 1
MgNiBIr: optimized geometry, PBE.

Lattice parameters (Å, degrees): 4.1262 4.1262 4.1262 60.00 60.00 60.00
With the nearest neighbours (Å) after each atom.
Atoms (fractional coordinates):
Mg1 0.0000 0.0000 0.0000  4 B 2.53, 4 Ir 2.53
Ni1 0.5000 0.5000 0.5000  4 Ir 2.53, 4 B 2.53
B1 0.2500 0.2500 0.2500  4 Ni 2.53, 4 Mg 2.53
Ir1 0.7500 0.7500 0.7500  4 Ni 2.53, 4 Mg 2.53

Space-group type ... No. 216
Total energy ... -5.106 eV per atom
Polymorph energy (0 for the lowest one) ... 411 meV per atom


No. 2
LaPrAs: optimized geometry, PBE.

Lattice parameters (Å, degrees): 5.0161 5.0161 5.0161 60.00 60.00 60.00
With the nearest neighbours (Å) after each atom.
Atoms (fractional coordinates):
La1 0.0000 0.0000 0.0000  4 Pr 3.07
Pr1 0.2500 0.2500 0.2500  4 La 3.07, 4 As 3.07
As1 0.5000 0.5000 0.5000  4 Pr 3.07

Space-group type ... No. 216
Total energy ... -4.821 eV per atom


No. 3
Gd2Re3Si5: optimized geometry, PBE.

Lattice parameters (Å, degrees): 11.0068 11.0068 5.5622 90.00 90.00 90.00
With the nearest neighbours (Å) after each atom.
Atoms (fractional coordinates):
Gd1 0.0776 0.2374 0.0000  7 Si 2.85-3.17, 2 Re 3.15
Gd2 0.2374 0.9224 0.0000  7 Si 2.85-3.17, 2 Re 3.15
Gd3 0.2626 0.4224 0.5000  7 Si 2.85-3.17, 2 Re 3.15
Gd4 0.4224 0.7374 0.5000  7 Si 2.85-3.17, 2 Re 3.15
Gd5 0.5776 0.2626 0.5000  7 Si 2.85-3.17, 2 Re 3.15
Gd6 0.7374 0.5776 0.5000  7 Si 2.85-3.17, 2 Re 3.15
Gd7 0.7626 0.0776 0.0000  7 Si 2.85-3.17, 2 Re 3.15
Gd8 0.9224 0.7626 0.0000  7 Si 2.85-3.17, 2 Re 3.15
Re1 0.0000 0.5000 0.2500  6 Si 2.49-2.68, 2 Re 2.78
Re2 0.0000 0.5000 0.7500  6 Si 2.49-2.68, 2 Re 2.78
Re3 0.1235 0.8526 0.5000  6 Si 2.48-2.55
Re4 0.1474 0.1235 0.5000  6 Si 2.48-2.55
Re5 0.3526 0.6235 0.0000  6 Si 2.48-2.55
Re6 0.3765 0.3526 0.0000  6 Si 2.48-2.55
Re7 0.5000 0.0000 0.2500  6 Si 2.49-2.68, 2 Re 2.78
Re8 0.5000 0.0000 0.7500  6 Si 2.49-2.68, 2 Re 2.78
Re9 0.6235 0.6474 0.0000  6 Si 2.48-2.55
Re10 0.6474 0.3765 0.0000  6 Si 2.48-2.55
Re11 0.8526 0.8765 0.5000  6 Si 2.48-2.55
Re12 0.8765 0.1474 0.5000  6 Si 2.48-2.55
Si1 0.0000 0.0000 0.2454  4 Re 2.55, 2 Si 2.73-2.83
Si2 0.0000 0.0000 0.7546  4 Re 2.55, 2 Si 2.73-2.83
Si3 0.0271 0.3145 0.5000  4 Re 2.48-2.49, 2 Si 2.60
Si4 0.1721 0.6721 0.2500  3 Re 2.48-2.68, 4 Si 2.60-2.78
Si5 0.1721 0.6721 0.7500  3 Re 2.48-2.68, 4 Si 2.60-2.78
Si6 0.1855 0.4729 0.0000  4 Re 2.48-2.49, 2 Si 2.60
Si7 0.3145 0.9729 0.5000  4 Re 2.48-2.49, 2 Si 2.60
Si8 0.3279 0.1721 0.2500  3 Re 2.48-2.68, 4 Si 2.60-2.78
Si9 0.3279 0.1721 0.7500  3 Re 2.48-2.68, 4 Si 2.60-2.78
Si10 0.4729 0.8145 0.0000  4 Re 2.48-2.49, 2 Si 2.60
Si11 0.5000 0.5000 0.2546  4 Re 2.55, 2 Si 2.73-2.83
Si12 0.5000 0.5000 0.7454  4 Re 2.55, 2 Si 2.73-2.83
Si13 0.5271 0.1855 0.0000  4 Re 2.48-2.49, 2 Si 2.60
Si14 0.6721 0.8279 0.2500  3 Re 2.48-2.68, 4 Si 2.60-2.78
Si15 0.6721 0.8279 0.7500  3 Re 2.48-2.68, 4 Si 2.60-2.78
Si16 0.6855 0.0271 0.5000  4 Re 2.48-2.49, 2 Si 2.60
Si17 0.8145 0.5271 0.0000  4 Re 2.48-2.49, 2 Si 2.60
Si18 0.8279 0.3279 0.2500  3 Re 2.48-2.68, 4 Si 2.60-2.78
Si19 0.8279 0.3279 0.7500  3 Re 2.48-2.68, 4 Si 2.60-2.78
Si20 0.9729 0.6855 0.5000  4 Re 2.48-2.49, 2 Si 2.60

Space-group type ... No. 128
Total energy ... -7.953 eV per atom


No. 4
Pr3Cd3Ag2Pt: optimized geometry, PBE.

Lattice parameters (Å, degrees): 7.7913 7.7913 4.2038 90.00 90.00 120.00
With the nearest neighbours (Å) after each atom.
Atoms (fractional coordinates):
Pr1 0.0000 0.6066 0.0000  1 Pt 3.07, 4 Ag 3.19, 4 Cd 3.41
Pr2 0.3934 0.3934 0.0000  1 Pt 3.07, 4 Ag 3.19, 4 Cd 3.41
Pr3 0.6066 0.0000 0.0000  1 Pt 3.07, 4 Ag 3.19, 4 Cd 3.41
Cd1 0.0000 0.2502 0.5000  2 Pt 2.87, 2 Ag 2.97
Cd2 0.2502 0.0000 0.5000  2 Pt 2.87, 2 Ag 2.97
Cd3 0.7498 0.7498 0.5000  2 Pt 2.87, 2 Ag 2.97
Ag1 0.3333 0.6667 0.5000  3 Cd 2.97, 6 Pr 3.19
Ag2 0.6667 0.3333 0.5000  3 Cd 2.97, 6 Pr 3.19
Pt1 0.0000 0.0000 0.0000  6 Cd 2.87, 3 Pr 3.07

Space-group type ... No. 189
Calculated formation energy ... -0.464 eV/atom
Total energy ... -3.654 eV per atom


> Among the records above, which one has the highest total energy?

Pr3Cd3Ag2Pt


> What is the formula in the first record?

MgNiBIr


> Number 4 is which compound?

Pr3Cd3Ag2Pt


> Among the records above, which one has the highest total energy?

Pr3Cd3Ag2Pt